Computed, not measured: an optimized crystal structure of Ac4DyTe7 at the GGA-PBE level of DFT.

Calculated values
E_form (uncorrected) = -1.53 eV per atom

The structure in extended XYZ format:
```
12
Lattice="7.6969 -2.2815 0.0000 7.6969 2.2815 0.0000 -3.5006 0.0000 13.1059" Properties=species:S:1:pos:R:3 pbc="T T T"
Ac 0.0000 0.0000 0.0000
Ac -0.0372 0.0000 5.8721
Ac 3.9289 0.0000 2.8535
Ac 7.9210 0.0000 10.7659
Dy 11.3986 0.0000 7.6119
Te -2.1697 0.0000 10.0860
Te 1.8136 0.0000 8.6850
Te 1.8283 0.0000 12.6583
Te 5.3342 0.0000 6.3542
Te 9.9690 0.0000 0.8344
Te 9.9013 0.0000 4.8605
Te 14.0145 0.0000 2.9389
```

Computed, not measured: an optimized crystal structure of Pm3Al7Ag4 at the GGA-PBE level of DFT.

Calculated values
formation energy from the elements = -381 meV/atom

The structure in extended XYZ format:
```
14
Lattice="8.1792 -2.2171 0.0000 8.1792 2.2171 0.0000 -6.0150 0.0000 7.8949" Properties=species:S:1:pos:R:3 pbc="T T T"
Pm 0.0000 0.0000 0.0000
Pm 3.2310 0.0000 2.4339
Pm 7.1125 0.0000 5.4611
Al -3.0075 0.0000 3.9475
Al -2.9189 0.0000 6.7962
Al 1.2259 0.0000 5.5204
Al 3.9077 0.0000 5.5753
Al 6.4358 0.0000 2.3196
Al 9.1176 0.0000 2.3745
Al 13.2624 0.0000 1.0987
Ag -0.2634 0.0000 3.2292
Ag -0.3052 0.0000 7.6887
Ag 10.6487 0.0000 0.2062
Ag 10.6069 0.0000 4.6658
```

Computed, not measured: an optimized crystal structure of TiHgPd5 at the GGA-PBE level of DFT.

Calculated values
formation energy from the elements = -243 meV/atom

The structure in extended XYZ format:
```
7
Lattice="4.0575 0.0000 0.0000 0.0000 4.0575 0.0000 0.0000 0.0000 7.2547" Properties=species:S:1:pos:R:3 pbc="T T T"
Ti 0.0000 0.0000 0.0000
Hg 2.0287 2.0287 3.6273
Pd 0.0000 0.0000 3.6273
Pd 0.0000 2.0287 1.5382
Pd 0.0000 2.0287 5.7164
Pd 2.0287 0.0000 1.5382
Pd 2.0287 0.0000 5.7164
```

Computed, not measured: an optimized crystal structure of SrTl2Mo at the GGA-PBE level of DFT.

Calculated values
formation energy from the elements = 391 meV/atom

The structure in extended XYZ format:
```
4
Lattice="3.5817 0.0000 0.0000 0.0000 3.5817 0.0000 0.0000 0.0000 7.9624" Properties=species:S:1:pos:R:3 pbc="T T T"
Sr 0.0000 0.0000 0.0000
Tl 1.7908 1.7908 2.3335
Tl 1.7908 1.7908 5.6289
Mo 0.0000 0.0000 3.9812
```

Computed, not measured: an optimized crystal structure of TiInW at the GGA-PBE level of DFT.

Calculated values
formation energy from the elements = -33 meV/atom

The structure in extended XYZ format:
```
6
Lattice="-1.5725 1.5725 11.8814 1.5725 -1.5725 11.8814 1.5725 1.5725 -11.8814" Properties=species:S:1:pos:R:3 pbc="T T T"
Ti 0.0000 0.0000 3.5463
Ti 0.0000 0.0000 20.2165
In 0.0000 0.0000 10.3937
In 0.0000 0.0000 13.3691
W 0.0000 0.0000 6.7117
W 0.0000 0.0000 17.0511
```

Computed, not measured: an optimized crystal structure of Ce2ReOs3 at the GGA-PBE level of DFT.

Calculated values
formation energy from the elements = -226 meV/atom

The structure in extended XYZ format:
```
12
Lattice="5.5906 0.0000 0.0000 -2.7953 4.8416 0.0000 0.0000 0.0000 8.2334" Properties=species:S:1:pos:R:3 pbc="T T T"
Ce 0.0000 3.2277 0.6054
Ce 0.0000 3.2277 3.5113
Ce 2.7953 1.6139 4.7221
Ce 2.7953 1.6139 7.6280
Re 0.0000 0.0000 0.0000
Re 0.0000 0.0000 4.1167
Os 0.0000 1.6475 6.1750
Os -1.3685 4.0178 6.1750
Os 1.4268 0.8237 2.0583
Os 1.3685 4.0178 6.1750
Os 4.1638 0.8237 2.0583
Os 2.7953 3.1941 2.0583
```

Computed, not measured: an optimized crystal structure of DyHg3Pb at the GGA-PBE level of DFT.

Calculated values
formation energy from the elements = -208 meV/atom

The structure in extended XYZ format:
```
10
Lattice="8.8508 -2.2775 0.0000 8.8508 2.2775 0.0000 -1.5670 0.0000 6.4861" Properties=species:S:1:pos:R:3 pbc="T T T"
Dy 1.9790 0.0000 0.3980
Dy 14.1557 0.0000 6.0881
Hg 0.9309 0.0000 3.5813
Hg 4.1819 0.0000 4.2258
Hg 5.1081 0.0000 1.0765
Hg 11.0266 0.0000 5.4096
Hg 11.9528 0.0000 2.2604
Hg 15.2038 0.0000 2.9048
Pb 7.6190 0.0000 4.9393
Pb 8.5158 0.0000 1.5468
```

Computed, not measured: an optimized crystal structure of CaAc at the GGA-PBE level of DFT.

Calculated values
formation energy from the elements = 26 meV/atom

The structure in extended XYZ format:
```
4
Lattice="3.9625 0.0000 0.0000 -1.9799 3.4336 0.0000 -0.0021 -0.0122 12.9743" Properties=species:S:1:pos:R:3 pbc="T T T"
Ca 0.0000 0.0000 0.0000
Ca 0.0060 2.2866 9.7716
Ac 0.0111 0.0001 6.4595
Ac 0.0079 2.2821 3.3106
```